# Tb2TmBe

Tb2TmBe after structural relaxation (PBE, Alexandria via LeMat-Bulk). Values from VASP.

Results
* space group: P4/mmm
* energy above the lowest structure with this stoichiometry: 0.0 meV per atom
* DFT formation energy: 0.08 eV per atom
* magnetic moment: 0.00 μB/f.u.
* D(E_F): 3.92 states/eV/cell

Structure (Quantum ESPRESSO input):
```
&SYSTEM
  ibrav = 0, nat = 4, ntyp = 3
/
ATOMIC_SPECIES
Be 9.01 Be.upf
Tm 168.93 Tm.upf
Tb 158.93 Tb.upf
CELL_PARAMETERS angstrom
3.4781 0.0000 0.0000
0.0000 3.4781 0.0000
0.0000 0.0000 8.4651
ATOMIC_POSITIONS crystal
Be 0.5000 0.5000 0.0000
Tm 0.5000 0.5000 0.5000
Tb 0.0000 0.0000 0.8041
Tb 0.0000 0.0000 0.1959
```

# Pr3Pd2

Pr3Pd2 after structural relaxation (PBE, Alexandria via LeMat-Bulk). Values from VASP.

Results
* space group: P4/mbm
* energy above the lowest structure with this stoichiometry: 0.0 meV per atom
* DFT formation energy: -0.61 eV per atom
* magnetic moment: 0.00 μB/f.u.
* D(E_F): 16.90 states/eV/cell

Structure (Quantum ESPRESSO input):
```
&SYSTEM
  ibrav = 0, nat = 20, ntyp = 2
/
ATOMIC_SPECIES
Pr 140.91 Pr.upf
Pd 106.42 Pd.upf
CELL_PARAMETERS angstrom
8.0945 0.0000 0.0000
0.0000 8.1461 0.0000
0.0000 0.0000 8.1461
ATOMIC_POSITIONS crystal
Pr 0.2500 0.0000 0.5000
Pr 0.7500 0.0000 0.5000
Pr 0.2500 0.5000 0.0000
Pr 0.7500 0.5000 0.0000
Pr 0.0000 0.3325 0.3325
Pr 0.0000 0.6675 0.6675
Pr 0.5000 0.1675 0.8325
Pr 0.5000 0.8325 0.1675
Pr 0.0000 0.1676 0.8324
Pr 0.0000 0.8324 0.1676
Pr 0.5000 0.6676 0.6676
Pr 0.5000 0.3324 0.3324
Pd 0.2499 0.1258 0.1258
Pd 0.2499 0.8742 0.8742
Pd 0.7499 0.3742 0.6258
Pd 0.7499 0.6258 0.3742
Pd 0.2501 0.3742 0.6258
Pd 0.2501 0.6258 0.3742
Pd 0.7501 0.1258 0.1258
Pd 0.7501 0.8742 0.8742
```

# La2MgAgRu

La2MgAgRu after structural relaxation (PBE, Alexandria via LeMat-Bulk). Values from VASP.

Results
* space group: P4/mmm
* energy above the lowest structure with this stoichiometry: 0.0 meV per atom
* DFT formation energy: -0.15 eV per atom
* magnetic moment: 0.00 μB/f.u.
* D(E_F): 4.35 states/eV/cell

Structure (Quantum ESPRESSO input):
```
&SYSTEM
  ibrav = 0, nat = 5, ntyp = 4
/
ATOMIC_SPECIES
Ru 101.07 Ru.upf
Mg 24.30 Mg.upf
Ag 107.87 Ag.upf
La 138.91 La.upf
CELL_PARAMETERS angstrom
-1.2961 -2.9445 -4.2737
-0.1356 -4.3843 3.0618
-5.0125 0.8215 0.9542
ATOMIC_POSITIONS crystal
Ru 0.0000 0.0000 0.0000
Mg 0.0000 0.0000 0.5000
Ag 0.5000 0.5000 0.5000
La 0.0000 0.5000 0.0000
La 0.5000 0.0000 0.0000
```